(1)
La6GeSe4, optimized geometry, DFT PBE; E_form (uncorrected) = -1595 meV/atom; space-group type = Cmcm, No. 63
1.0
4.2997 0.0000 0.0000
-2.1498 7.0370 0.0000
0.0000 0.0000 21.7476
La Ge Se
12 2 8
Cartesian
2.1498 0.0000 0.0000 La
2.1498 0.0000 10.8738 La
0.0000 0.8046 7.2006 La
2.1498 6.2324 14.5470 La
2.1498 6.2324 18.0744 La
0.0000 0.8046 3.6732 La
2.1498 3.8505 8.9697 La
0.0000 3.1865 12.7779 La
0.0000 3.1865 19.8436 La
2.1498 3.8505 1.9041 La
0.0000 4.5763 5.4369 La
2.1498 2.4607 16.3107 La
2.1498 2.3815 5.4369 Ge
0.0000 4.6554 16.3107 Ge
2.1498 5.0878 11.7551 Se
0.0000 5.8341 2.7469 Se
0.0000 1.9492 9.9925 Se
2.1498 1.2029 19.0007 Se
2.1498 5.0878 20.8663 Se
0.0000 1.9492 0.8813 Se
2.1498 1.2029 13.6208 Se
0.0000 5.8341 8.1269 Se


(2)
La4GeSe2, optimized geometry, DFT PBE; E_form (uncorrected) = -1313 meV/atom; space-group type = Pbam, No. 55
1.0
-3.7937 1.4740 1.8599
1.5316 -4.1555 6.4173
6.1151 9.6750 4.8055
Ge Se La
2 4 8
Cartesian
3.0575 4.8375 2.4028 Ge
0.7658 -2.0778 3.2086 Ge
4.4091 4.8559 10.5281 Se
-0.5561 2.1376 2.5547 Se
2.9317 5.8077 6.7602 Se
0.9213 1.1858 6.3225 Se
5.7251 4.9728 7.7366 La
1.9216 0.5467 3.4863 La
4.5839 6.4566 4.2329 La
3.0628 -0.9371 6.9899 La
2.6174 2.9301 8.3997 La
1.2356 4.0634 4.6831 La
-0.4472 -1.8883 5.9675 La
4.3002 8.8818 7.1153 La


(3)
LaGe6Se8, optimized geometry, DFT PBE; E_form (uncorrected) = -448 meV/atom; space-group type = R-3, No. 148
1.0
-4.7135 -1.9901 5.5894
4.2977 -5.1103 3.5826
2.7363 4.2919 5.6135
La Ge Se
1 6 8
Cartesian
0.0000 0.0000 0.0000 La
1.1080 0.3620 9.8685 Ge
3.5401 -2.4894 8.9452 Ge
-0.2211 -3.2307 9.3947 Ge
1.2125 -3.1704 4.9170 Ge
-1.2197 -0.3190 5.8403 Ge
2.5415 0.4223 5.3908 Ge
1.6851 -2.0394 10.7369 Se
0.6354 -0.7690 4.0485 Se
1.1209 -4.8354 7.8818 Se
-1.3754 0.1042 9.2119 Se
4.2388 -0.0910 8.2937 Se
1.1996 2.0270 6.9036 Se
3.6959 -2.9127 5.5736 Se
-1.9184 -2.7174 6.4918 Se


(4)
LaGeSe4, optimized geometry, DFT PBE; E_form (uncorrected) = -843 meV/atom; space-group type = P2_1/m, No. 11
1.0
-6.1048 0.7085 0.4982
4.7428 -5.3494 3.3312
1.3146 5.9381 7.6640
La Ge Se
2 2 8
Cartesian
-2.0828 1.7441 8.3737 La
2.0354 -0.4469 3.1197 La
-4.5486 4.5271 6.6404 Ge
4.5012 -3.2298 4.8530 Ge
0.8896 0.9109 8.5094 Se
-0.9369 0.3863 2.9840 Se
-0.7927 3.9483 6.4447 Se
0.7454 -2.6510 5.0488 Se
3.2917 -3.2267 2.7679 Se
-3.8211 2.3464 5.9151 Se
3.7738 -1.0491 5.5784 Se
-3.3390 4.5240 8.7255 Se


(5)
La2GeSe4, optimized geometry, DFT PBE; E_form (uncorrected) = -1381 meV/atom; space-group type = P2_1/m, No. 11
1.0
6.6666 0.0000 -0.1250
0.0000 6.6496 0.0000
-2.5750 0.0000 8.5583
La Ge Se
4 2 8
Cartesian
4.9321 4.9872 0.4972 La
-0.8405 1.6624 7.9362 La
0.5765 1.6624 3.8439 La
3.5151 4.9872 4.5895 La
1.0430 4.9872 1.5451 Ge
3.0486 1.6624 6.8883 Ge
2.7089 3.2708 1.9816 Se
-1.8068 4.9872 7.3069 Se
5.8985 1.6624 1.1264 Se
2.7089 0.0541 1.9816 Se
4.4869 1.6624 4.6901 Se
1.3828 6.5956 6.4518 Se
1.3828 3.3789 6.4518 Se
-0.3953 4.9872 3.7433 Se


(6)
La5GeSe4, optimized geometry, DFT PBE; E_form (uncorrected) = -1819 meV/atom; space-group type = I4/m, No. 87
1.0
5.5246 0.0000 2.6646
2.7623 6.8769 1.3323
-0.2253 0.0000 7.5263
La Ge Se
5 1 4
Cartesian
5.8925 2.7115 8.9749 La
3.7204 5.5238 6.4190 La
4.3520 1.3530 5.1095 La
2.1799 4.1654 2.5536 La
2.7690 0.0000 1.3356 La
0.0062 0.0000 0.0030 Ge
3.1447 2.7558 7.6129 Se
6.5020 5.4908 7.7115 Se
1.5706 1.3860 3.8171 Se
4.9279 4.1211 3.9157 Se


(7)
La4Ge2Se, optimized geometry, DFT PBE; E_form (uncorrected) = -922 meV/atom; space-group type = I4_1/amd, No. 141
1.0
-6.9841 -1.1285 4.5005
-0.9336 -3.4681 -7.5766
6.4824 -3.6240 3.8925
Ge Se La
4 2 8
Cartesian
-4.7778 -2.5999 1.0207 Ge
1.4886 -5.5817 -3.0716 Ge
1.9554 -3.8477 0.7167 Ge
-1.5366 -4.4119 2.9670 Ge
-2.5716 -4.0713 -2.4591 Se
0.0000 0.0000 0.0000 Se
-3.6463 -2.5698 3.8839 La
-3.1569 -4.9848 0.4124 La
0.2982 -3.2059 -1.7974 La
3.6346 -5.6808 -0.8661 La
0.2762 -2.0146 2.2995 La
3.6126 -4.4894 3.2309 La
0.0836 -3.8391 5.5215 La
0.5731 -6.2541 2.0500 La


(8)
La3GeSe, optimized geometry, DFT PBE; E_form (uncorrected) = -602 meV/atom; space-group type = Pm-3m, No. 221
1.0
-3.2980 -4.0256 -2.0774
-0.7483 -2.0501 5.1609
-4.4678 3.3150 0.6691
Ge Se La
1 1 3
Cartesian
-4.2571 -1.3804 1.8763 Ge
0.0000 0.0000 0.0000 Se
-0.3742 -1.0251 2.5805 La
-2.2339 1.6575 0.3345 La
-1.6490 -2.0128 -1.0387 La


(9)
LaGe2Se, optimized geometry, DFT PBE; E_form (uncorrected) = -344 meV/atom; space-group type = I-42d, No. 122
1.0
8.2630 0.0000 0.0000
0.0000 8.2630 0.0000
4.1315 4.1315 2.9289
Ge Se La
4 2 2
Cartesian
5.9442 2.0658 0.7322 Ge
2.3189 6.1973 0.7322 Ge
6.1973 6.4504 2.1967 Ge
10.3288 10.0757 2.1967 Ge
4.1315 4.1315 0.0000 Se
4.1315 8.2630 1.4644 Se
0.0000 0.0000 0.0000 La
8.2630 4.1315 1.4644 La


(10)
La8Ge5Se, optimized geometry, DFT PBE; E_form (uncorrected) = -969 meV/atom; space-group type = I-4, No. 82
1.0
-1.3998 -1.3597 -7.8437
5.1910 -5.5225 2.8085
-6.9474 -0.4999 4.1007
La Ge Se
8 5 1
Cartesian
3.6331 -4.3003 1.1915 La
-5.9274 -2.3226 -4.4253 La
-2.3473 -2.5819 -3.7039 La
-4.9799 -3.4139 -0.2586 La
0.8058 -4.1950 -1.1323 La
-2.3608 -6.2028 1.1896 La
-1.6573 -1.9385 0.1752 La
0.2090 -4.5734 3.2258 La
1.0792 -2.1306 1.5436 Ge
1.5926 -6.1657 -3.3799 Ge
-2.1620 -4.7895 -1.5483 Ge
-4.1736 -0.9298 -1.8715 Ge
-6.8223 -1.6783 1.5157 Ge
-2.9650 -3.4761 2.5189 Se


(11)
La5Ge2Se2, optimized geometry, DFT PBE; E_form (uncorrected) = -1261 meV/atom; space-group type = Cmce, No. 64
1.0
-2.8624 -7.5928 -1.0245
5.7715 -2.8364 4.8960
-7.5471 2.3604 3.5927
La Ge Se
10 4 4
Cartesian
0.0000 0.0000 0.0000 La
1.4546 -5.2146 1.9357 La
0.2115 -7.9779 4.0799 La
0.1514 -1.9366 3.0913 La
2.5563 -4.6305 5.3672 La
-2.1934 -5.2840 1.8040 La
-4.8495 -0.0909 3.3844 La
-4.7894 -6.1322 4.3729 La
-7.1943 -3.4383 2.0971 La
-2.4446 -2.7848 5.6602 La
3.2442 -7.2379 3.6323 Ge
-0.3351 -3.1912 0.2392 Ge
3.2542 -2.7431 2.9390 Ge
-0.3451 -7.6861 0.9325 Ge
-1.8556 0.3751 2.4047 Se
-0.4010 -4.8395 4.3405 Se
0.0800 -0.8511 6.0840 Se
-4.2369 -3.2293 3.1238 Se


(12)
La2Ge2Se5, optimized geometry, DFT PBE; E_form (uncorrected) = -1083 meV/atom; space-group type = Ima2, No. 46
1.0
-4.0601 6.0310 -1.7539
-6.3789 -3.8310 1.5932
5.6838 1.7373 8.7621
La Ge Se
4 4 10
Cartesian
-3.2461 -1.2901 2.6890 La
-1.7251 5.0977 5.9663 La
-1.9876 3.4937 1.0583 La
-2.9836 0.3139 7.5970 La
-6.2096 -3.7293 1.5509 Ge
-5.0502 1.2017 -0.1226 Ge
-0.2939 1.0807 4.4794 Ge
-5.5345 2.2121 4.3900 Ge
-0.1395 0.3356 8.9926 Se
-7.6850 1.7584 0.3753 Se
3.1664 2.0782 8.2463 Se
-4.6119 3.8468 -0.4716 Se
0.3355 1.9989 2.1596 Se
-3.6900 2.7796 6.0919 Se
-3.8815 1.6098 2.5123 Se
0.5270 3.1688 5.7392 Se
-2.1561 -1.4605 5.4096 Se
-2.3820 5.5283 3.1376 Se